Density functional theory data (PBE) for a relaxed structure of SrAc2In.

The structure belongs to space group P4/mmm (No. 123); the cell edges are 4.1529, 4.1529 and 9.8668 Å and the angles 90.00°, 90.00° and 90.00°. Symmetry generates all atoms from Sr at (0.0000, 0.0000, 0.0000), Ac at (0.5000, 0.5000, 0.3052) and In at (0.0000, 0.0000, 0.5000).

The total DFT energy (no corrections) comes out at -0.243 Ry per atom. Its calculated formation energy is -0.61 eV per formula unit. As for the energy above the most stable polymorph in this dataset: 0 meV per atom.